[1]
First-principles (PBE-GGA) data for a relaxed structure of BaYSi2, as listed in Alexandria. Values from VASP.

Magnetization ... 0.0000 μB per atom
SG ... Pmmm, No. 47
Energy above the most stable polymorph in this dataset ... 479.0 meV per atom

```
&SYSTEM
  ibrav = 0, nat = 4, ntyp = 3
/
ATOMIC_SPECIES
Y 88.91 Y.upf
Si 28.09 Si.upf
Ba 137.33 Ba.upf
ATOMIC_POSITIONS crystal
Y 0.0000 0.0000 0.3750
Si 0.0000 0.0000 0.8753
Si 0.5000 0.5000 0.3749
Ba 0.5000 0.5000 0.8749
CELL_PARAMETERS angstrom
3.6044 0.0000 0.0000
0.0000 5.1236 0.0000
0.0000 0.0000 6.2477
```

---

[2]
First-principles (PBE-GGA) data for a relaxed structure of BaYSi4, as listed in Alexandria. Values from VASP.

Magnetization ... 0.0000 μB per atom
SG ... F-43m, No. 216
Energy above the most stable polymorph in this dataset ... 289.1 meV per atom

```
&SYSTEM
  ibrav = 0, nat = 6, ntyp = 3
/
ATOMIC_SPECIES
Si 28.09 Si.upf
Y 88.91 Y.upf
Ba 137.33 Ba.upf
ATOMIC_POSITIONS crystal
Si 0.3891 0.3891 0.3891
Si 0.3891 0.8327 0.3891
Si 0.3891 0.3891 0.8327
Si 0.8327 0.3891 0.3891
Y 0.7500 0.7500 0.7500
Ba 0.0000 0.0000 0.0000
CELL_PARAMETERS angstrom
0.0000 4.0129 4.0129
4.0129 0.0000 4.0129
4.0129 4.0129 0.0000
```

---

[3]
First-principles (PBE-GGA) data for a relaxed structure of BaYSi2, as listed in Alexandria. Values from VASP.

Magnetization ... 0.0000 μB per atom
SG ... I-42d, No. 122
Energy above the most stable polymorph in this dataset ... 543.7 meV per atom

```
&SYSTEM
  ibrav = 0, nat = 8, ntyp = 3
/
ATOMIC_SPECIES
Ba 137.33 Ba.upf
Si 28.09 Si.upf
Y 88.91 Y.upf
ATOMIC_POSITIONS crystal
Ba 0.0000 0.0000 0.0000
Ba 0.7500 0.2500 0.5000
Si 0.4570 0.1250 0.2500
Si 0.3750 0.5430 0.7500
Si 0.8750 0.7070 0.7500
Si 0.2930 0.6250 0.2500
Y 0.2500 0.7500 0.5000
Y 0.5000 0.5000 0.0000
CELL_PARAMETERS angstrom
5.3672 0.0000 0.0000
0.0000 5.3672 0.0000
2.6836 2.6836 9.5233
```

---

[4]
First-principles (PBE-GGA) data for a relaxed structure of BaYSi2, as listed in Alexandria. Values from VASP.

Magnetization ... 0.0000 μB per atom
SG ... F-43m, No. 216
Energy above the most stable polymorph in this dataset ... 828.9 meV per atom

```
&SYSTEM
  ibrav = 0, nat = 4, ntyp = 3
/
ATOMIC_SPECIES
Si 28.09 Si.upf
Y 88.91 Y.upf
Ba 137.33 Ba.upf
ATOMIC_POSITIONS crystal
Si 0.2500 0.2500 0.2500
Si 0.0000 0.0000 0.0000
Y 0.7500 0.7500 0.7500
Ba 0.5000 0.5000 0.5000
CELL_PARAMETERS angstrom
5.2213 0.0000 0.0000
2.6106 4.5218 0.0000
2.6106 1.5073 4.2632
```

---

[5]
First-principles (PBE-GGA) data for a relaxed structure of BaYSi2, as listed in Alexandria. Values from VASP.

Magnetization ... 0.0000 μB per atom
SG ... R-3m, No. 166
Energy above the most stable polymorph in this dataset ... 411.1 meV per atom

```
&SYSTEM
  ibrav = 0, nat = 4, ntyp = 3
/
ATOMIC_SPECIES
Y 88.91 Y.upf
Si 28.09 Si.upf
Ba 137.33 Ba.upf
ATOMIC_POSITIONS crystal
Y 0.2500 0.2500 0.2500
Si 0.5092 0.5092 0.5092
Si 0.9908 0.9908 0.9908
Ba 0.7500 0.7500 0.7500
CELL_PARAMETERS angstrom
-5.6389 -7.0319 -1.0908
-2.4063 -8.2535 -2.9197
-2.7102 -8.6119 0.9618
```

---

[6]
First-principles (PBE-GGA) data for a relaxed structure of Ba2YSi2, as listed in Alexandria. Values from VASP.

Magnetization ... 0.1337 μB per atom
SG ... P4/mbm, No. 127

```
&SYSTEM
  ibrav = 0, nat = 10, ntyp = 3
/
ATOMIC_SPECIES
Ba 137.33 Ba.upf
Si 28.09 Si.upf
Y 88.91 Y.upf
ATOMIC_POSITIONS crystal
Ba 0.1743 0.6743 0.5000
Ba 0.8257 0.3257 0.5000
Ba 0.3257 0.1743 0.5000
Ba 0.6743 0.8257 0.5000
Si 0.6113 0.1113 0.0000
Si 0.8887 0.6113 0.0000
Si 0.1113 0.3887 0.0000
Si 0.3887 0.8887 0.0000
Y 0.0000 0.0000 0.0000
Y 0.5000 0.5000 0.0000
CELL_PARAMETERS angstrom
7.7755 0.0000 0.0000
0.0000 7.7755 0.0000
0.0000 0.0000 5.2724
```

---

[7]
First-principles (PBE-GGA) data for a relaxed structure of BaYSi2, as listed in Alexandria. Values from VASP.

Magnetization ... 0.0000 μB per atom
SG ... Pmmm, No. 47
Energy above the most stable polymorph in this dataset ... 16.4 meV per atom

```
&SYSTEM
  ibrav = 0, nat = 4, ntyp = 3
/
ATOMIC_SPECIES
Ba 137.33 Ba.upf
Si 28.09 Si.upf
Y 88.91 Y.upf
ATOMIC_POSITIONS crystal
Ba 0.5000 0.7500 0.7500
Si 0.0000 0.9210 0.0789
Si 0.0000 0.5790 0.4211
Y 0.5000 0.2500 0.2500
CELL_PARAMETERS angstrom
-1.1320 3.2745 -1.8031
-2.6623 -2.0193 -1.9958
-7.3567 -0.8461 3.0820
```

---

[8]
First-principles (PBE-GGA) data for a relaxed structure of BaYSi2, as listed in Alexandria. Values from VASP.

Magnetization ... 0.0000 μB per atom
SG ... Imm2, No. 44
Energy above the most stable polymorph in this dataset ... 64.4 meV per atom

```
&SYSTEM
  ibrav = 0, nat = 4, ntyp = 3
/
ATOMIC_SPECIES
Ba 137.33 Ba.upf
Si 28.09 Si.upf
Y 88.91 Y.upf
ATOMIC_POSITIONS crystal
Ba 0.2213 0.7213 0.5000
Si 0.8375 0.3375 0.5000
Si 0.9596 0.9596 0.0000
Y 0.4815 0.4815 0.0000
CELL_PARAMETERS angstrom
7.0636 0.0163 -0.0015
4.5438 5.4082 0.0015
-5.5985 -3.1515 2.9361
```

---

[9]
First-principles (PBE-GGA) data for a relaxed structure of BaY3Si, as listed in Alexandria. Values from VASP.

Magnetization ... 0.0000 μB per atom
SG ... Pm-3m, No. 221
Energy above the most stable polymorph in this dataset ... 1430.4 meV per atom

```
&SYSTEM
  ibrav = 0, nat = 5, ntyp = 3
/
ATOMIC_SPECIES
Y 88.91 Y.upf
Ba 137.33 Ba.upf
Si 28.09 Si.upf
ATOMIC_POSITIONS crystal
Y 0.5000 0.0000 0.0000
Y 0.0000 0.0000 0.5000
Y 0.0000 0.5000 0.0000
Ba 0.0000 0.0000 0.0000
Si 0.5000 0.5000 0.5000
CELL_PARAMETERS angstrom
5.6000 0.0000 0.0000
0.0000 5.6000 0.0000
0.0000 0.0000 5.6000
```

---

[10]
First-principles (PBE-GGA) data for a relaxed structure of BaYSi2, as listed in Alexandria. Values from VASP.

Magnetization ... 0.0000 μB per atom
SG ... Cmm2, No. 35
Energy above the most stable polymorph in this dataset ... 422.9 meV per atom

```
&SYSTEM
  ibrav = 0, nat = 4, ntyp = 3
/
ATOMIC_SPECIES
Y 88.91 Y.upf
Si 28.09 Si.upf
Ba 137.33 Ba.upf
ATOMIC_POSITIONS crystal
Y 0.0000 0.0000 0.4090
Si 0.0000 0.0000 0.0856
Si 0.5000 0.5000 0.1933
Ba 0.5000 0.5000 0.8120
CELL_PARAMETERS angstrom
-3.0864 -1.1105 -1.2666
-0.3542 -1.5467 3.1378
-3.8902 7.2414 3.1303
```

---

[11]
First-principles (PBE-GGA) data for a relaxed structure of BaYSi2, as listed in Alexandria. Values from VASP.

Magnetization ... 0.0000 μB per atom
SG ... Fm-3m, No. 225
Energy above the most stable polymorph in this dataset ... 375.0 meV per atom

```
&SYSTEM
  ibrav = 0, nat = 4, ntyp = 3
/
ATOMIC_SPECIES
Si 28.09 Si.upf
Ba 137.33 Ba.upf
Y 88.91 Y.upf
ATOMIC_POSITIONS crystal
Si 0.7500 0.7500 0.7500
Si 0.2500 0.2500 0.2500
Ba 0.5000 0.5000 0.5000
Y 0.0000 0.0000 0.0000
CELL_PARAMETERS angstrom
-0.9047 -5.2185 0.1194
2.0551 -2.9564 3.8861
-3.1628 -2.0556 3.7198
```

---

[12]
First-principles (PBE-GGA) data for a relaxed structure of BaYSi2, as listed in Alexandria. Values from VASP.

Magnetization ... 0.0002 μB per atom
SG ... P4mm, No. 99
Energy above the most stable polymorph in this dataset ... 423.2 meV per atom

```
&SYSTEM
  ibrav = 0, nat = 4, ntyp = 3
/
ATOMIC_SPECIES
Ba 137.33 Ba.upf
Y 88.91 Y.upf
Si 28.09 Si.upf
ATOMIC_POSITIONS crystal
Ba 0.5000 0.5000 0.8116
Y 0.0000 0.0000 0.4106
Si 0.0000 0.0000 0.0858
Si 0.5000 0.5000 0.1921
CELL_PARAMETERS angstrom
3.4879 0.0000 0.0000
0.0000 3.4879 0.0000
0.0000 0.0000 8.7989
```

---

Formation energy (no corrections), respectively: -0.004, -0.123, 0.060, 0.346, -0.072, -0.319, -0.467, -0.419, 1.373, -0.061, -0.108, -0.060 eV/atom.